Na2SmC2O6 | PBE-GGA | relaxed

Cell and atoms, written as POSCAR:
```
Na2SmC2O6
1.0
5.219 0.000 0.000
-2.610 4.520 0.000
0.000 0.000 7.751
Na O C Sm
2 6 2 1
Direct
0.333 0.667 0.335
0.667 0.333 0.665
0.314 0.905 0.829
0.409 0.314 0.171
0.905 0.591 0.171
0.591 0.686 0.829
0.686 0.095 0.171
0.095 0.409 0.829
0.333 0.667 0.831
0.667 0.333 0.169
0.000 0.000 0.000
```

Results
**SG**: P-3
**Total moment**: 0.00 μB per cell
**VASP energy**: -6.88 eV/atom
**Formation energy from raw total energies**: -1834 meV/atom